{
  "formula": "Ga5B2Rh12",
  "functional": "PBE",
  "state": "optimized geometry",
  "cell": [[-2.3127, -4.0178, -3.1574], [6.8050, 3.3104, -4.2150], [0.8613, -4.5347, 5.1395]],
  "species": ["Ga", "Ga", "Ga", "Ga", "Ga", "Rh", "Rh", "Rh", "Rh", "Rh", "Rh", "Rh", "Rh", "Rh", "Rh", "Rh", "Rh", "B", "B"],
  "frac_coords": [[0.0000, 0.0000, 0.5000], [0.7527, 0.5054, 0.0087], [0.2467, 0.4933, 0.5055], [0.7533, 0.5067, 0.4945], [0.2473, 0.4946, 0.9913], [0.0349, 0.0698, 0.2149], [0.0983, 0.7045, 0.8929], [0.4092, 0.2960, 0.6263], [0.5908, 0.7040, 0.3737], [0.3938, 0.2955, 0.1071], [0.9651, 0.9302, 0.7851], [0.5028, 0.0057, 0.7283], [0.4972, 0.9943, 0.2717], [0.1131, 0.7040, 0.3737], [0.9017, 0.2955, 0.1071], [0.8869, 0.2960, 0.6263], [0.6062, 0.7045, 0.8929], [0.6725, 0.0000, 0.0000], [0.3275, 0.0000, 0.0000]],
  "total_energy_ev_per_fu": -121.7,
  "formation_enthalpy_0k_kj_per_mol_atoms": -25.2
}

{
  "formula": "Sc2GaB2Rh5",
  "functional": "PBE",
  "state": "optimized geometry",
  "cell": [[9.3242, 0.0000, 0.0000], [0.0000, 9.3242, 0.0000], [0.0000, 0.0000, 3.0867]],
  "species": ["Rh", "Rh", "Rh", "Rh", "Rh", "Rh", "Rh", "Rh", "Rh", "Rh", "B", "B", "B", "B", "Sc", "Sc", "Sc", "Sc", "Ga", "Ga"],
  "frac_coords": [[0.7163, 0.5711, 0.5000], [0.9289, 0.7837, 0.5000], [0.7837, 0.0711, 0.5000], [0.2163, 0.9289, 0.5000], [0.5711, 0.2837, 0.5000], [0.0711, 0.2163, 0.5000], [0.5000, 0.0000, 0.5000], [0.2837, 0.4289, 0.5000], [0.0000, 0.5000, 0.5000], [0.4289, 0.7163, 0.5000], [0.3753, 0.8753, 0.0000], [0.1247, 0.3753, 0.0000], [0.6247, 0.1247, 0.0000], [0.8753, 0.6247, 0.0000], [0.8254, 0.3254, 0.0000], [0.3254, 0.1746, 0.0000], [0.1746, 0.6746, 0.0000], [0.6746, 0.8254, 0.0000], [0.0000, 0.0000, 0.0000], [0.5000, 0.5000, 0.0000]],
  "total_energy_ev_per_fu": -74.8,
  "formation_enthalpy_0k_kj_per_mol_atoms": -86.6
}

{
  "formula": "Sm3GaB2Rh9",
  "functional": "PBE",
  "state": "optimized geometry",
  "cell": [[6.1218, 0.0000, 0.0000], [-3.0609, 5.3016, 0.0000], [0.0000, 0.0000, 7.6314]],
  "species": ["Sm", "Sm", "Sm", "B", "B", "Rh", "Rh", "Rh", "Rh", "Rh", "Rh", "Rh", "Rh", "Rh", "Ga"],
  "frac_coords": [[0.0000, 0.0000, 0.0000], [0.3333, 0.6667, 0.6603], [0.6667, 0.3333, 0.3397], [0.6667, 0.3333, 0.8535], [0.3333, 0.6667, 0.1465], [0.1777, 0.3554, 0.3093], [0.3554, 0.1777, 0.6907], [0.6446, 0.8223, 0.3093], [0.8223, 0.6446, 0.6907], [0.8223, 0.1777, 0.6907], [0.5000, 0.5000, 0.0000], [0.1777, 0.8223, 0.3093], [0.0000, 0.5000, 0.0000], [0.5000, 0.0000, 0.0000], [0.0000, 0.0000, 0.5000]],
  "total_energy_ev_per_fu": -106.1,
  "formation_enthalpy_0k_kj_per_mol_atoms": -60.7
}

{
  "formula": "Sm4GaB3Rh12",
  "functional": "PBE",
  "state": "optimized geometry",
  "cell": [[7.4954, 0.0000, 0.0000], [-2.4985, 7.0668, 0.0000], [-2.4985, -3.5334, 6.1200]],
  "species": ["Sm", "Sm", "Sm", "Sm", "Rh", "Rh", "Rh", "Rh", "Rh", "Rh", "Rh", "Rh", "Rh", "Rh", "Rh", "Rh", "Ga", "B", "B", "B"],
  "frac_coords": [[0.0000, 0.0000, 0.5000], [0.5000, 0.5000, 0.5000], [0.5000, 0.0000, 0.0000], [0.0000, 0.5000, 0.0000], [0.2500, 0.7500, 0.5000], [0.5000, 0.2500, 0.7500], [0.5000, 0.7500, 0.2500], [0.2707, 0.0000, 0.2707], [0.0000, 0.2707, 0.2707], [0.2500, 0.5000, 0.7500], [0.7293, 0.0000, 0.7293], [0.7500, 0.5000, 0.2500], [0.2707, 0.2707, 0.0000], [0.7293, 0.7293, 0.0000], [0.7500, 0.2500, 0.5000], [0.0000, 0.7293, 0.7293], [0.0000, 0.0000, 0.0000], [0.5000, 0.0000, 0.5000], [0.0000, 0.5000, 0.5000], [0.5000, 0.5000, 0.0000]],
  "total_energy_ev_per_fu": -143.0,
  "formation_enthalpy_0k_kj_per_mol_atoms": -61.9
}

Question: Number 1 is which compound?
Answer: Ga5B2Rh12

Copy entry 4 word for word.
{
  "formula": "Sm4GaB3Rh12",
  "functional": "PBE",
  "state": "optimized geometry",
  "cell": [[7.4954, 0.0000, 0.0000], [-2.4985, 7.0668, 0.0000], [-2.4985, -3.5334, 6.1200]],
  "species": ["Sm", "Sm", "Sm", "Sm", "Rh", "Rh", "Rh", "Rh", "Rh", "Rh", "Rh", "Rh", "Rh", "Rh", "Rh", "Rh", "Ga", "B", "B", "B"],
  "frac_coords": [[0.0000, 0.0000, 0.5000], [0.5000, 0.5000, 0.5000], [0.5000, 0.0000, 0.0000], [0.0000, 0.5000, 0.0000], [0.2500, 0.7500, 0.5000], [0.5000, 0.2500, 0.7500], [0.5000, 0.7500, 0.2500], [0.2707, 0.0000, 0.2707], [0.0000, 0.2707, 0.2707], [0.2500, 0.5000, 0.7500], [0.7293, 0.0000, 0.7293], [0.7500, 0.5000, 0.2500], [0.2707, 0.2707, 0.0000], [0.7293, 0.7293, 0.0000], [0.7500, 0.2500, 0.5000], [0.0000, 0.7293, 0.7293], [0.0000, 0.0000, 0.0000], [0.5000, 0.0000, 0.5000], [0.0000, 0.5000, 0.5000], [0.5000, 0.5000, 0.0000]],
  "total_energy_ev_per_fu": -143.0,
  "formation_enthalpy_0k_kj_per_mol_atoms": -61.9
}

Question: Which formula does entry 2 have?
Answer: Sc2GaB2Rh5